Sc2CrSe, optimized geometry, DFT PBE-GGA; total energy = -6.35 eV per atom; mass density = 4.98 g cm⁻³; raw formation energy = 92.8 meV/atom; N(E_F) = 5.201 states/eV/cell; symmetry = No. 216
1.0
0.000 3.326 3.326
3.326 0.000 3.326
3.326 3.326 0.000
Sc Cr Se
2 1 1
direct
0.000 0.000 0.000
0.250 0.250 0.250
0.750 0.750 0.750
0.500 0.500 0.500